Arrangement A

This record from Alexandria describes a relaxed structure of NaLi2Cl. The functional is PBE.

abc: 3.5376 3.5376 26.8166
angles: 90.00 90.00 120.00
Last column: nearest neighbours and their distance in Å.
Space group R-3m (No. 166, hexagonal axes)
Asymmetric unit:
Na 0.0000 0.0000 0.0000 (multiplicity 3)  6 Na 3.54, 6 Li 3.60
Li 0.0000 0.0000 0.2227 (multiplicity 6)  3 Cl 2.54
Cl 0.0000 0.0000 0.5000 (multiplicity 3)  6 Li 2.54

---

Arrangement B

This record from Alexandria describes a relaxed structure of NaLi2Cl. The functional is PBE.

abc: 7.3033 7.3033 8.7706
angles: 90.00 90.00 90.00
Last column: nearest neighbours and their distance in Å.
Space group I-42d (No. 122)
Asymmetric unit:
Na 0.0000 0.0000 0.0000 (multiplicity 4)  4 Li 3.38
Li 0.1401 0.7500 0.6250 (multiplicity 8)  2 Cl 2.36
Cl 0.0000 0.0000 0.5000 (multiplicity 4)  4 Li 2.36

---

Verdict on stability: arrangement A comes out on top.